DFT (PBE) results for crystalline Ac2La5Sm5 at its relaxed geometry.

## Properties
ΔH_f (0 K) in eV per formula unit: 0.31
Total DFT energy (no corrections) in hartree per atom: -0.1719
Theoretical density in g cm⁻³: 7.13

Cell lengths 8.3344, 8.3344, 11.7788 Å; angles 114.98, 114.98, 37.17 degrees
Closest atoms and distances in Å follow each position.
Atoms (fractional coordinates):
1 Ac 0.0829 0.0829 0.2479  7 La 3.73-3.78, 5 Sm 3.74-3.77
2 Ac 0.9171 0.9171 0.7521  7 La 3.73-3.78, 5 Sm 3.74-3.77
3 La 0.3352 0.3352 0.5010  4 La 3.69-3.77, 5 Sm 3.72-3.76, 3 Ac 3.75-3.77
4 La 0.4129 0.4129 0.2481  7 Sm 3.63-3.76, 3 La 3.69-3.75, 2 Ac 3.78
5 La 0.5000 0.5000 0.0000  4 Ac 3.73, 2 La 3.74, 6 Sm 3.75-3.78
6 La 0.5871 0.5871 0.7519  7 Sm 3.63-3.76, 3 La 3.69-3.75, 2 Ac 3.78
7 La 0.6648 0.6648 0.4990  4 La 3.69-3.77, 5 Sm 3.72-3.76, 3 Ac 3.75-3.77
8 Sm 0.0000 0.0000 0.5000  2 Sm 3.71, 8 La 3.72-3.76, 2 Ac 3.74
9 Sm 0.1709 0.1709 0.0010  5 La 3.63-3.78, 5 Sm 3.66-3.73, 2 Ac 3.74-3.77
10 Sm 0.2481 0.2481 0.7507  4 Sm 3.66-3.73, 6 La 3.68-3.76, 2 Ac 3.76
11 Sm 0.7519 0.7519 0.2493  4 Sm 3.66-3.73, 6 La 3.68-3.76, 2 Ac 3.76
12 Sm 0.8291 0.8291 0.9990  5 La 3.63-3.78, 5 Sm 3.66-3.73, 2 Ac 3.74-3.77